Density functional theory data (GGA-PBEsol) for a relaxed structure of Ta3Ru5.

Computed properties:
Electronic total energy   -90.862 eV/cell
Space-group type   No. 65

Cell: 5.405 5.405 4.147 Å, 90.00 90.00 99.59°
Sites, in units of the cell vectors:
Ta 0.000 0.000 0.000
Ta 0.287 0.713 0.500
Ta 0.713 0.287 0.500
Ru 0.000 0.500 0.000
Ru 0.218 0.218 0.500
Ru 0.500 0.000 0.000
Ru 0.500 0.500 0.000
Ru 0.782 0.782 0.500